[1]
Density functional theory data (PBE) for PrSm3Se4 after structural relaxation.

Unit cell a=4.1550 b=4.1550 c=28.0160 alpha=90.00 beta=90.00 gamma=120.00
Space group P6_3/mmc (No. 194)
Symmetry-distinct sites (fractional):
Pr 0.3333 0.6667 0.2500 (multiplicity 2)
Sm 0.0000 0.0000 0.0000 (multiplicity 2)
Sm 0.3333 0.6667 0.6225 (multiplicity 4)
Se 0.0000 0.0000 0.1837 (multiplicity 4)
Se 0.3333 0.6667 0.0616 (multiplicity 4)

Properties
- Total energy: -5.93 eV/atom
- Mass density: 7.20 g/cm3
- V: 418.9 Å³ per cell
- DOS at the Fermi energy: 10.071 states/eV per cell
- Polymorph energy (0 for the lowest one): 5 meV per atom
- Uncorrected formation energy: -1816 meV/atom


[2]
Density functional theory data (PBE) for MgSc2Pb4 after structural relaxation.

Unit cell a=19.604 b=3.506 c=6.072 alpha=90.00 beta=107.52 gamma=90.00
Space group C2/m (No. 12)
Symmetry-distinct sites (fractional):
Mg 0.000 0.000 0.000 (multiplicity 2)
Sc 0.246 0.500 0.735 (multiplicity 4)
Pb 0.114 0.000 0.460 (multiplicity 4)
Pb 0.124 0.500 0.963 (multiplicity 4)

Properties
- Total energy: -4.25 eV/atom
- Mass density: 7.87 g/cm3
- V: 398.0 Å³ per cell
- DOS at the Fermi energy: 10.285 states/eV per cell
- ΔE_f: -9 kJ per mole of atoms


[3]
Density functional theory data (PBE) for NbNi3Br after structural relaxation.

Unit cell a=4.653 b=4.653 c=4.653 alpha=90.00 beta=90.00 gamma=90.00
Space group Pm-3m (No. 221)
Symmetry-distinct sites (fractional):
Nb 0.000 0.000 0.000 (multiplicity 1)
Ni 0.000 0.000 0.500 (multiplicity 3)
Br 0.500 0.500 0.500 (multiplicity 1)

Properties
- Total energy: -4.46 eV/atom
- Mass density: 5.75 g/cm3
- V: 100.8 Å³ per cell
- DOS at the Fermi energy: 5.695 states/eV per cell
- Polymorph energy (0 for the lowest one): 306 meV per atom
- Uncorrected formation energy: 1356 meV/atom